(1)
A plane-wave DFT calculation with PBE-GGA was carried out for an optimized crystal structure of Sr4GePt3.

Lattice parameters (Å, degrees): 4.451 4.517 11.222 90.00 90.00 90.00
Element x y z (fractional)
Sr  0.000  0.000  0.000
Sr  0.000  0.500  0.271
Sr  0.500  0.000  0.483
Sr  0.500  0.500  0.780
Ge  0.000  0.000  0.682
Pt  0.000  0.500  0.585
Pt  0.500  0.000  0.206
Pt  0.500  0.500  0.060

Computed properties:
space-group type: Pmm2

***

(2)
A plane-wave DFT calculation with PBE-GGA was carried out for an optimized crystal structure of Sr2Ge4Pt5.

Lattice parameters (Å, degrees): 9.302 8.198 5.932 80.61 60.40 38.99
Element x y z (fractional)
Sr  0.132  0.132  0.868
Sr  0.868  0.868  0.132
Ge  0.212  0.536  0.464
Ge  0.464  0.788  0.212
Ge  0.536  0.212  0.788
Ge  0.788  0.464  0.536
Pt  0.000  0.000  0.500
Pt  0.250  0.250  0.250
Pt  0.500  0.500  0.000
Pt  0.500  0.500  0.500
Pt  0.750  0.750  0.750

Computed properties:
space-group type: Fmmm

***

(3)
A plane-wave DFT calculation with PBE-GGA was carried out for an optimized crystal structure of SrGe2Pt3.

Lattice parameters (Å, degrees): 8.078 8.078 7.887 113.37 113.37 30.24
Element x y z (fractional)
Sr  0.159  0.159  0.078
Sr  0.841  0.841  0.922
Ge  0.177  0.177  0.647
Ge  0.483  0.483  0.828
Ge  0.517  0.517  0.172
Ge  0.823  0.823  0.353
Pt  0.030  0.030  0.348
Pt  0.320  0.320  0.577
Pt  0.391  0.391  0.291
Pt  0.609  0.609  0.709
Pt  0.680  0.680  0.423
Pt  0.970  0.970  0.652

Computed properties:
space-group type: C2/m

***

(4)
A plane-wave DFT calculation with PBE-GGA was carried out for an optimized crystal structure of Sr2Ge3Pt6.

Lattice parameters (Å, degrees): 7.602 7.602 4.345 90.00 90.00 120.00
Element x y z (fractional)
Sr  0.333  0.667  0.000
Sr  0.667  0.333  0.000
Ge  0.000  0.370  0.500
Ge  0.370  0.000  0.500
Ge  0.630  0.630  0.500
Pt  0.000  0.209  0.000
Pt  0.000  0.698  0.500
Pt  0.209  0.000  0.000
Pt  0.302  0.302  0.500
Pt  0.698  0.000  0.500
Pt  0.791  0.791  0.000

Computed properties:
space-group type: P-62m

***

| no. | calculated total energy (eV/atom) | DOS(E_F) (states/eV/f.u.) |
| --- | --- | --- |
| 1 | -4.454 | 3.687 |
| 2 | -5.432 | 4.840 |
| 3 | -5.529 | 2.447 |
| 4 | -5.534 | 3.713 |